## LiBeTl3 (PBE)

Data for a relaxed LiBeTl3 crystal.

Its calculated volume is 130 Å³ per cell. The value obtained for the formation energy is 0.242 eV per atom. Its space group is Pm-3m. Its offset from the most stable computed form is 0 meV per atom.

Cell lengths 5.0627, 5.0627, 5.0627 Å; angles 90.00, 90.00, 90.00 degrees
Closest atoms and distances in Å follow each position.
Fractional coordinates of all 5 atoms:
Li1 0.0000 0.0000 0.0000  12 Tl 3.58
Be1 0.5000 0.5000 0.5000  6 Tl 2.53
Tl1 0.0000 0.5000 0.5000  2 Be 2.53
Tl2 0.5000 0.0000 0.5000  2 Be 2.53
Tl3 0.5000 0.5000 0.0000  2 Be 2.53

=====

## LiBe2Tl (PBE)

Data for a relaxed LiBe2Tl crystal.

Its calculated volume is 58 Å³ per cell. The value obtained for the formation energy is 0.453 eV per atom. Its space group is C2/m. Its offset from the most stable computed form is 137 meV per atom.

Cell lengths 4.5669, 4.5669, 4.2753 Å; angles 104.23, 104.23, 42.08 degrees
Closest atoms and distances in Å follow each position.
Fractional coordinates of all 4 atoms:
Li1 0.0000 0.0000 0.0000  6 Be 2.58, 4 Tl 2.69
Be1 0.2609 0.2609 0.8024  2 Be 2.40, 3 Li 2.58
Be2 0.7391 0.7391 0.1976  2 Be 2.40, 3 Li 2.58
Tl1 0.5000 0.5000 0.5000  6 Be 2.69-2.79, 4 Li 2.69